[1]
Below is PrMgSe2 after structural relaxation, with properties calculated at the PBE-GGA level.

Unit cell a=4.0007 b=4.0007 c=21.2392 alpha=90.00 beta=90.00 gamma=120.00
Space group R3m (No. 160, hexagonal axes)
Unique sites:
Pr: 0.0000 0.0000 0.0000 [3 per cell]
Mg: 0.0000 0.0000 0.8319 [3 per cell]
Se: 0.0000 0.0000 0.2396 [3 per cell]
Se: 0.0000 0.0000 0.4284 [3 per cell]

Distance to the lowest polymorph of the same formula in eV per atom: 0.000
Spin magnetization in μB/f.u.: 0.9
E_form (uncorrected) in eV per atom: -1.4701


[2]
Below is Pr2MgSe4 after structural relaxation, with properties calculated at the PBE-GGA level.

Unit cell a=6.9728 b=9.8766 c=13.6615 alpha=74.11 beta=76.49 gamma=86.39
Space group P-1 (No. 2)
Unique sites:
Pr: 0.2329 0.1206 0.0157 [2 per cell]
Pr: 0.2522 0.6694 0.6634 [2 per cell]
Pr: 0.2564 0.6598 0.2704 [2 per cell]
Pr: 0.2572 0.0461 0.3698 [2 per cell]
Mg: 0.2405 0.5307 0.0006 [2 per cell]
Mg: 0.2725 0.1654 0.7026 [2 per cell]
Se: 0.0136 0.6704 0.8807 [2 per cell]
Se: 0.0196 0.8528 0.1284 [2 per cell]
Se: 0.1450 0.4175 0.6309 [2 per cell]
Se: 0.1673 0.9841 0.6073 [2 per cell]
Se: 0.3436 0.3420 0.3243 [2 per cell]
Se: 0.3737 0.7543 0.4328 [2 per cell]
Se: 0.4784 0.9687 0.1709 [2 per cell]
Se: 0.4945 0.6382 0.0685 [2 per cell]

Distance to the lowest polymorph of the same formula in eV per atom: 0.123
Spin magnetization in μB/f.u.: 0.0
E_form (uncorrected) in eV per atom: -1.5428